PHWO2 after structural relaxation. Source: the Alexandria database, functional PBE with a Hubbard U.

a = 3.799 Å, b = 3.799 Å, c = 5.057 Å
α = 90.00°, β = 90.00°, γ = 90.00°
Fractional coordinates of all 5 atoms:
P: 0.000 0.000 0.500
O: 0.000 0.500 0.000
O: 0.500 0.000 0.000
W: 0.000 0.000 0.000
H: 0.500 0.500 0.500

Properties
Crystal system ... tetragonal
Total moment ... 0.0 μB/cell
E above lowest polymorph ... 0 meV/atom